## SrTi4Co3O12 (PBE+U)

Data for a geometry-optimized SrTi4Co3O12 structure.

The structure in POSCAR format:
```
SrTi4Co3O12
1.0
6.528 0.000 0.000
-2.176 6.155 0.000
-2.176 -3.077 5.330
O Co Ti Sr
12 3 4 1
Cartesian
3.848 3.724 0.992
2.680 1.003 3.721
-1.672 -0.647 4.339
2.123 1.286 0.992
1.672 3.434 2.729
-0.504 2.074 1.609
-0.053 4.653 0.618
0.504 -0.357 2.601
2.229 -1.576 4.713
0.053 1.792 4.339
-2.229 3.293 3.721
4.405 -0.216 1.609
2.176 -1.539 2.665
2.176 3.077 0.000
-2.176 1.539 2.665
3.264 0.000 0.000
-1.088 -1.539 2.665
-1.088 3.077 0.000
1.088 1.539 2.665
0.000 0.000 0.000
```

Calculated values
ρ = 5024 kg/m3
magnetization = 0.4459 μB/atom
total DFT energy (no corrections) = -156.57 eV for the cell shown
symmetry = Im-3